Pr5TmTl4 | GGA-PBE | relaxed

Cell: 8.5321 9.3532 8.7966 Å, 90.00 90.00 90.00°
Sites, in units of the cell vectors:
Pr1 0.0090 0.0570 0.2344
Pr2 0.0090 0.4430 0.2344
Pr3 0.2500 0.7500 0.1694
Pr4 0.4910 0.0570 0.2344
Pr5 0.4910 0.4430 0.2344
Pr6 0.5090 0.5570 0.7656
Pr7 0.5090 0.9430 0.7656
Pr8 0.7500 0.2500 0.8306
Pr9 0.9910 0.5570 0.7656
Pr10 0.9910 0.9430 0.7656
Tm1 0.2500 0.2500 0.5865
Tm2 0.7500 0.7500 0.4135
Tl1 0.0843 0.2500 0.9340
Tl2 0.2500 0.5821 0.4986
Tl3 0.2500 0.9179 0.4986
Tl4 0.4157 0.2500 0.9340
Tl5 0.5843 0.7500 0.0660
Tl6 0.7500 0.0821 0.5014
Tl7 0.7500 0.4179 0.5014
Tl8 0.9157 0.7500 0.0660

Computed properties:
Energy above the lowest structure with this stoichiometry   0.258 eV per atom
D(E_F)   19.92 states/eV/cell
ΔE_f   -0.0321 eV per atom